Record 1
{"formula": "Mn2IrC", "functional": "GGA-PBE", "state": "relaxed", "cell": [[-2.088, -4.202, 0.907], [3.403, -2.232, -2.506], [3.244, -3.659, 3.106]], "species": ["C", "Mn", "Mn", "Ir", "Ir", "Mn", "C", "Mn"], "fractional_positions": [[0.250, 0.750, 0.500], [0.545, 0.125, 0.250], [0.375, 0.455, 0.750], [0.750, 0.250, 0.500], [0.000, 0.000, 0.000], [0.875, 0.795, 0.750], [0.500, 0.500, 0.000], [0.205, 0.625, 0.250]], "relative_energy_mev_per_atom": 742, "density_g_cm3": 9.706, "final_energy_ev_per_atom": -8.423, "formation_enthalpy_0k_ev_per_atom": 0.683}

---

Record 2
{"formula": "Mn21Ir2C6", "functional": "GGA-PBE", "state": "relaxed", "cell": [[6.396, 0.000, 3.692], [2.132, 6.030, 3.692], [0.000, 0.000, 7.385]], "species": ["Mn", "Mn", "C", "Mn", "Mn", "Mn", "Mn", "Mn", "Ir", "C", "Mn", "Mn", "Mn", "Mn", "C", "C", "Ir", "Mn", "Mn", "C", "Mn", "Mn", "Mn", "Mn", "Mn", "C", "Mn", "Mn", "Mn"], "fractional_positions": [[0.616, 0.616, 0.153], [0.384, 0.384, 0.384], [0.724, 0.276, 0.724], [0.668, 0.332, 0.000], [0.000, 0.332, 0.668], [0.668, 0.000, 0.332], [0.000, 0.668, 0.000], [0.000, 0.000, 0.332], [0.250, 0.250, 0.250], [0.724, 0.276, 0.276], [0.153, 0.616, 0.616], [0.384, 0.847, 0.384], [0.000, 0.000, 0.000], [0.332, 0.000, 0.668], [0.724, 0.724, 0.276], [0.276, 0.276, 0.724], [0.750, 0.750, 0.750], [0.847, 0.384, 0.384], [0.000, 0.332, 0.000], [0.276, 0.724, 0.276], [0.616, 0.153, 0.616], [0.332, 0.668, 0.000], [0.000, 0.000, 0.668], [0.668, 0.000, 0.000], [0.332, 0.000, 0.000], [0.276, 0.724, 0.724], [0.616, 0.616, 0.616], [0.000, 0.668, 0.332], [0.384, 0.384, 0.847]], "density_g_cm3": 9.389, "final_energy_ev_per_atom": -9.238, "formation_enthalpy_0k_ev_per_atom": -0.079}

---

Record 3
{"formula": "MnIr2C", "functional": "GGA-PBE", "state": "relaxed", "cell": [[0.518, -3.022, 2.766], [-2.460, -3.315, -0.079], [1.501, -3.657, -1.194]], "species": ["C", "Ir", "Mn", "Ir"], "fractional_positions": [[0.000, 0.000, 0.000], [0.750, 0.750, 0.750], [0.500, 0.500, 0.500], [0.250, 0.250, 0.250]], "relative_energy_mev_per_atom": 737, "density_g_cm3": 15.055, "final_energy_ev_per_atom": -7.946, "formation_enthalpy_0k_ev_per_atom": 1.083}

---

Record 4
{"formula": "Mn3IrC", "functional": "GGA-PBE", "state": "relaxed", "cell": [[-2.866, -0.908, -2.282], [0.661, -3.663, 0.627], [-2.366, 0.077, 2.940]], "species": ["Mn", "C", "Mn", "Ir", "Mn"], "fractional_positions": [[0.000, 0.500, 0.000], [0.000, 0.000, 0.000], [0.000, 0.000, 0.500], [0.500, 0.500, 0.500], [0.500, 0.000, 0.000]], "relative_energy_mev_per_atom": 0, "density_g_cm3": 11.395, "final_energy_ev_per_atom": -9.074, "formation_enthalpy_0k_ev_per_atom": 0.045}

---

Record 5
{"formula": "MnIrC", "functional": "GGA-PBE", "state": "relaxed", "cell": [[-2.122, 0.977, 1.436], [-0.683, -2.100, 3.028], [1.213, 2.121, 2.961]], "species": ["C", "Mn", "Ir"], "fractional_positions": [[0.328, 0.548, 0.101], [0.580, 0.962, 0.182], [0.077, 0.465, 0.684]], "relative_energy_mev_per_atom": 56, "density_g_cm3": 12.667, "final_energy_ev_per_atom": -8.780, "formation_enthalpy_0k_ev_per_atom": 0.305}

---

Record 6
{"formula": "MnIrC", "functional": "GGA-PBE", "state": "relaxed", "cell": [[5.106, 0.000, -0.010], [0.000, 2.787, 0.000], [-1.503, 0.000, 4.577]], "species": ["Mn", "C", "Mn", "C", "Ir", "Ir"], "fractional_positions": [[0.744, 0.500, 0.197], [0.997, 0.000, 0.447], [0.744, 0.000, 0.697], [0.997, 0.500, 0.947], [0.291, 0.000, 0.879], [0.291, 0.500, 0.379]], "relative_energy_mev_per_atom": 64, "density_g_cm3": 13.221, "final_energy_ev_per_atom": -8.772, "formation_enthalpy_0k_ev_per_atom": 0.313}

---

Record 7
{"formula": "Mn3IrC", "functional": "GGA-PBE", "state": "relaxed", "cell": [[4.818, 0.000, 0.000], [0.000, 4.818, 0.000], [0.000, 0.000, 4.818]], "species": ["Ir", "Mn", "Mn", "Mn", "C"], "fractional_positions": [[0.000, 0.000, 0.000], [0.500, 0.000, 0.000], [0.000, 0.000, 0.500], [0.000, 0.500, 0.000], [0.500, 0.500, 0.500]], "relative_energy_mev_per_atom": 2049, "density_g_cm3": 5.480, "final_energy_ev_per_atom": -7.025, "formation_enthalpy_0k_ev_per_atom": 2.093}

---

Record 8
{"formula": "MnIrC", "functional": "GGA-PBE", "state": "relaxed", "cell": [[-1.326, 1.091, 2.085], [-2.301, -0.185, -1.366], [-1.310, -7.837, 3.269]], "species": ["C", "Ir", "Ir", "C", "Mn", "Mn"], "fractional_positions": [[0.000, 0.000, 0.470], [0.000, 0.000, 0.159], [0.000, 0.500, 0.659], [0.000, 0.500, 0.970], [0.500, 0.000, 0.887], [0.500, 0.500, 0.387]], "relative_energy_mev_per_atom": 2, "density_g_cm3": 13.826, "final_energy_ev_per_atom": -8.834, "formation_enthalpy_0k_ev_per_atom": 0.251}

---

> Number 4 is which compound?

Mn3IrC